# CoSb2Te PBE optimized geometry
# crystal system: orthorhombic
# formation energy (no corrections): 0.5874 eV/atom
data_CoSb2Te
_symmetry_space_group_name_H-M 'P 1'
_symmetry_Int_Tables_number 1
_symmetry_space_group_name_Hall 'P 1'
_cell_length_a 3.5462
_cell_length_b 5.0620
_cell_length_c 5.1662
_cell_angle_alpha 90.00
_cell_angle_beta 90.00
_cell_angle_gamma 90.00
loop_
_atom_site_label
_atom_site_type_symbol
_atom_site_fract_x
_atom_site_fract_y
_atom_site_fract_z
_atom_site_occupancy
Co1 Co 0.0000 0.0000 0.0000 1
Sb1 Sb 0.0000 0.5000 0.5000 1
Sb2 Sb 0.5000 0.0000 0.5000 1
Te1 Te 0.5000 0.5000 0.0000 1

=====

# Co2SbTe PBE optimized geometry
# crystal system: orthorhombic
# formation energy (no corrections): 0.1943 eV/atom
data_Co2SbTe
_symmetry_space_group_name_H-M 'P 1'
_symmetry_Int_Tables_number 1
_symmetry_space_group_name_Hall 'P 1'
_cell_length_a 3.1411
_cell_length_b 3.9916
_cell_length_c 13.1142
_cell_angle_alpha 90.00
_cell_angle_beta 90.00
_cell_angle_gamma 90.00
loop_
_atom_site_label
_atom_site_type_symbol
_atom_site_fract_x
_atom_site_fract_y
_atom_site_fract_z
_atom_site_occupancy
Co1 Co 0.0000 0.0000 0.0000 1
Co2 Co 0.0000 0.5000 0.1040 1
Co3 Co 0.5000 0.0000 0.6040 1
Co4 Co 0.5000 0.5000 0.5000 1
Sb1 Sb 0.0000 0.0000 0.4330 1
Sb2 Sb 0.5000 0.5000 0.9330 1
Te1 Te 0.0000 0.5000 0.6646 1
Te2 Te 0.5000 0.0000 0.1646 1

=====

# CoSb2Te PBE optimized geometry
# crystal system: orthorhombic
# formation energy (no corrections): 0.1744 eV/atom
data_CoSb2Te
_symmetry_space_group_name_H-M 'P 1'
_symmetry_Int_Tables_number 1
_symmetry_space_group_name_Hall 'P 1'
_cell_length_a 3.1870
_cell_length_b 4.8980
_cell_length_c 11.8913
_cell_angle_alpha 90.00
_cell_angle_beta 90.00
_cell_angle_gamma 90.00
loop_
_atom_site_label
_atom_site_type_symbol
_atom_site_fract_x
_atom_site_fract_y
_atom_site_fract_z
_atom_site_occupancy
Co1 Co 0.0000 0.0000 0.0000 1
Co2 Co 0.5000 0.5000 0.5000 1
Sb1 Sb 0.0000 0.5000 0.3236 1
Sb2 Sb 0.0000 0.5000 0.6764 1
Sb3 Sb 0.5000 0.0000 0.1764 1
Sb4 Sb 0.5000 0.0000 0.8236 1
Te1 Te 0.0000 0.0000 0.5000 1
Te2 Te 0.5000 0.5000 0.0000 1

=====

# Co2SbTe PBE optimized geometry
# crystal system: cubic
# formation energy (no corrections): 0.3805 eV/atom
data_Co2SbTe
_symmetry_space_group_name_H-M 'P 1'
_symmetry_Int_Tables_number 1
_symmetry_space_group_name_Hall 'P 1'
_cell_length_a 6.4739
_cell_length_b 6.4739
_cell_length_c 6.4739
_cell_angle_alpha 90.00
_cell_angle_beta 90.00
_cell_angle_gamma 90.00
loop_
_atom_site_label
_atom_site_type_symbol
_atom_site_fract_x
_atom_site_fract_y
_atom_site_fract_z
_atom_site_occupancy
Co1 Co 0.2500 0.2500 0.2500 1
Co2 Co 0.2500 0.2500 0.7500 1
Co3 Co 0.2500 0.7500 0.2500 1
Co4 Co 0.2500 0.7500 0.7500 1
Co5 Co 0.7500 0.2500 0.2500 1
Co6 Co 0.7500 0.2500 0.7500 1
Co7 Co 0.7500 0.7500 0.2500 1
Co8 Co 0.7500 0.7500 0.7500 1
Sb1 Sb 0.0000 0.0000 0.0000 1
Sb2 Sb 0.0000 0.5000 0.5000 1
Sb3 Sb 0.5000 0.0000 0.5000 1
Sb4 Sb 0.5000 0.5000 0.0000 1
Te1 Te 0.0000 0.0000 0.5000 1
Te2 Te 0.0000 0.5000 0.0000 1
Te3 Te 0.5000 0.0000 0.0000 1
Te4 Te 0.5000 0.5000 0.5000 1

=====

# Co2SbTe PBE optimized geometry
# crystal system: tetragonal
# formation energy (no corrections): 0.4733 eV/atom
data_Co2SbTe
_symmetry_space_group_name_H-M 'P 1'
_symmetry_Int_Tables_number 1
_symmetry_space_group_name_Hall 'P 1'
_cell_length_a 3.7441
_cell_length_b 3.7441
_cell_length_c 9.9107
_cell_angle_alpha 90.00
_cell_angle_beta 90.00
_cell_angle_gamma 90.00
loop_
_atom_site_label
_atom_site_type_symbol
_atom_site_fract_x
_atom_site_fract_y
_atom_site_fract_z
_atom_site_occupancy
Co1 Co 0.0000 0.0000 0.0000 1
Co2 Co 0.0000 0.5000 0.2500 1
Co3 Co 0.5000 0.0000 0.7500 1
Co4 Co 0.5000 0.5000 0.5000 1
Sb1 Sb 0.0000 0.5000 0.7500 1
Sb2 Sb 0.5000 0.0000 0.2500 1
Te1 Te 0.0000 0.0000 0.5000 1
Te2 Te 0.5000 0.5000 0.0000 1

=====

# Th4CoSbTe2 PBE optimized geometry
# crystal system: monoclinic
# formation energy (no corrections): -0.8359 eV/atom
data_Th4CoSbTe2
_symmetry_space_group_name_H-M 'P 1'
_symmetry_Int_Tables_number 1
_symmetry_space_group_name_Hall 'P 1'
_cell_length_a 7.7942
_cell_length_b 4.2032
_cell_length_c 7.8048
_cell_angle_alpha 90.00
_cell_angle_beta 107.53
_cell_angle_gamma 90.00
loop_
_atom_site_label
_atom_site_type_symbol
_atom_site_fract_x
_atom_site_fract_y
_atom_site_fract_z
_atom_site_occupancy
Th1 Th 0.2018 0.0000 0.2050 1
Th2 Th 0.2245 0.5000 0.7700 1
Th3 Th 0.7755 0.5000 0.2300 1
Th4 Th 0.7982 0.0000 0.7950 1
Co1 Co 0.0000 0.5000 0.0000 1
Sb1 Sb 0.0000 0.0000 0.5000 1
Te1 Te 0.5000 0.0000 0.0000 1
Te2 Te 0.5000 0.5000 0.5000 1

=====

# TlCoSb2Te PBE optimized geometry
# crystal system: tetragonal
# formation energy (no corrections): 0.2186 eV/atom
data_TlCoSb2Te
_symmetry_space_group_name_H-M 'P 1'
_symmetry_Int_Tables_number 1
_symmetry_space_group_name_Hall 'P 1'
_cell_length_a 4.8734
_cell_length_b 4.8734
_cell_length_c 5.8042
_cell_angle_alpha 90.00
_cell_angle_beta 90.00
_cell_angle_gamma 90.00
loop_
_atom_site_label
_atom_site_type_symbol
_atom_site_fract_x
_atom_site_fract_y
_atom_site_fract_z
_atom_site_occupancy
Tl1 Tl 0.0000 0.0000 0.0000 1
Co1 Co 0.5000 0.5000 0.5000 1
Sb1 Sb 0.0000 0.5000 0.5000 1
Sb2 Sb 0.5000 0.0000 0.5000 1
Te1 Te 0.5000 0.5000 0.0000 1

=====

# TlCoSb2Te PBE optimized geometry
# crystal system: tetragonal
# formation energy (no corrections): 1.4874 eV/atom
data_TlCoSb2Te
_symmetry_space_group_name_H-M 'P 1'
_symmetry_Int_Tables_number 1
_symmetry_space_group_name_Hall 'P 1'
_cell_length_a 5.6485
_cell_length_b 5.6485
_cell_length_c 5.7753
_cell_angle_alpha 90.00
_cell_angle_beta 90.00
_cell_angle_gamma 90.00
loop_
_atom_site_label
_atom_site_type_symbol
_atom_site_fract_x
_atom_site_fract_y
_atom_site_fract_z
_atom_site_occupancy
Tl1 Tl 0.0000 0.0000 0.0000 1
Co1 Co 0.5000 0.5000 0.5000 1
Sb1 Sb 0.0000 0.5000 0.0000 1
Sb2 Sb 0.5000 0.0000 0.0000 1
Te1 Te 0.0000 0.0000 0.5000 1